# 1
First-principles (meta-GGA SCAN) data for KPbO2 at its PBEsol-relaxed geometry, as listed in the Alexandria database.

a = 6.389 Å, b = 7.003 Å, c = 7.474 Å
α = 117.65°, β = 93.57°, γ = 105.46°
Atoms (fractional coordinates):
O (0.716, 0.435, 0.797)
K (0.023, 0.748, 0.748)
Pb (0.053, 0.764, 0.256)
O (0.726, 0.975, 0.805)
K (0.471, 0.249, 0.995)
O (0.284, 0.565, 0.203)
Pb (0.947, 0.236, 0.744)
Pb (0.492, 0.259, 0.499)
K (0.529, 0.751, 0.005)
K (0.977, 0.252, 0.252)
O (0.308, 0.508, 0.600)
O (0.274, 0.025, 0.195)
O (0.283, 0.977, 0.569)
O (0.717, 0.023, 0.431)
Pb (0.508, 0.741, 0.501)
O (0.692, 0.492, 0.400)

Properties
density of states at the Fermi level = 0.000 states/eV/atom
E = -25.468 eV per atom
energy relative to the elements, uncorrected = -5.30 eV per formula unit
M_tot = 0.0 μB per formula unit

# 2
First-principles (meta-GGA SCAN) data for Sn4Rh at its PBEsol-relaxed geometry, as listed in the Alexandria database.

a = 6.753 Å, b = 6.753 Å, c = 8.598 Å
α = 90.00°, β = 90.00°, γ = 120.00°
Atoms (fractional coordinates):
Sn (0.369, 0.369, 0.167)
Sn (0.000, 0.631, 0.833)
Sn (0.737, 0.499, 0.404)
Rh (0.691, 0.691, 0.667)
Sn (0.237, 0.501, 0.596)
Sn (0.499, 0.737, 0.929)
Sn (0.000, 0.094, 0.833)
Sn (0.906, 0.906, 0.167)
Rh (0.309, 0.000, 0.000)
Sn (0.763, 0.263, 0.071)
Sn (0.631, 0.000, 0.500)
Sn (0.094, 0.000, 0.500)
Sn (0.263, 0.763, 0.263)
Sn (0.501, 0.237, 0.737)
Rh (0.000, 0.309, 0.333)

Properties
density of states at the Fermi level = 0.338 states/eV/atom
E = -35.732 eV per atom
M_tot = 0.0 μB per formula unit

# 3
First-principles (meta-GGA SCAN) data for ReIN2 at its PBEsol-relaxed geometry, as listed in the Alexandria database.

a = 5.961 Å, b = 5.961 Å, c = 5.961 Å
α = 60.00°, β = 60.00°, γ = 60.00°
Atoms (fractional coordinates):
Re (0.250, 0.250, 0.250)
Re (0.000, 0.000, 0.000)
I (0.750, 0.750, 0.750)
N (0.125, 0.125, 0.625)
I (0.500, 0.500, 0.500)
N (0.625, 0.125, 0.125)
N (0.125, 0.625, 0.125)
N (0.125, 0.125, 0.125)

Properties
density of states at the Fermi level = 0.568 states/eV/atom
E = -31.355 eV per atom
energy relative to the elements, uncorrected = 1.00 eV per formula unit
M_tot = 0.0 μB per formula unit

# 4
First-principles (meta-GGA SCAN) data for In2SiNi at its PBEsol-relaxed geometry, as listed in the Alexandria database.

a = 3.180 Å, b = 4.718 Å, c = 4.718 Å
α = 90.00°, β = 90.00°, γ = 90.00°
Atoms (fractional coordinates):
In (0.000, 0.500, 0.000)
Ni (0.500, 0.500, 0.500)
Si (0.500, 0.000, 0.000)
In (0.000, 0.000, 0.500)

Properties
density of states at the Fermi level = 0.665 states/eV/atom
E = -22.761 eV per atom
energy relative to the elements, uncorrected = 1.92 eV per formula unit
M_tot = 0.0 μB per formula unit

# 5
First-principles (meta-GGA SCAN) data for MgZn4Ir at its PBEsol-relaxed geometry, as listed in the Alexandria database.

a = 4.910 Å, b = 4.910 Å, c = 4.910 Å
α = 60.00°, β = 60.00°, γ = 60.00°
Atoms (fractional coordinates):
Zn (0.376, 0.376, 0.376)
Zn (0.376, 0.873, 0.376)
Zn (0.376, 0.376, 0.873)
Ir (0.750, 0.750, 0.750)
Mg (0.000, 0.000, 0.000)
Zn (0.873, 0.376, 0.376)

Properties
density of states at the Fermi level = 0.457 states/eV/atom
E = -21.934 eV per atom
M_tot = 0.0 μB per formula unit

# 6
First-principles (meta-GGA SCAN) data for Ca2PtAu at its PBEsol-relaxed geometry, as listed in the Alexandria database.

a = 3.887 Å, b = 4.454 Å, c = 5.685 Å
α = 90.00°, β = 109.99°, γ = 90.00°
Atoms (fractional coordinates):
Ca (0.016, 0.000, 0.032)
Ca (0.733, 0.500, 0.467)
Au (0.297, 0.000, 0.595)
Pt (0.453, 0.500, 0.907)

Properties
density of states at the Fermi level = 0.353 states/eV/atom
E = -40.685 eV per atom
M_tot = 0.0 μB per formula unit

# 7
First-principles (meta-GGA SCAN) data for SrZr2Tl at its PBEsol-relaxed geometry, as listed in the Alexandria database.

a = 3.380 Å, b = 3.890 Å, c = 8.156 Å
α = 90.00°, β = 90.00°, γ = 90.00°
Atoms (fractional coordinates):
Zr (0.000, 0.000, 0.999)
Sr (0.000, 0.000, 0.516)
Tl (0.500, 0.500, 0.791)
Zr (0.500, 0.500, 0.194)

Properties
ΔE to the lowest computed polymorph = 1.9 kJ/mol of atoms
density of states at the Fermi level = 0.746 states/eV/atom
E = -39.009 eV per atom
M_tot = 0.0 μB per formula unit

# 8
First-principles (meta-GGA SCAN) data for NiIrPt at its PBEsol-relaxed geometry, as listed in the Alexandria database.

a = 2.691 Å, b = 2.691 Å, c = 6.369 Å
α = 90.00°, β = 90.00°, γ = 120.00°
Each line ends with the local moment (μB).
Atoms (fractional coordinates):
Ir (0.000, 0.000, 0.983)  0.13
Pt (0.333, 0.667, 0.345)  0.17
Ni (0.667, 0.333, 0.672)  1.02

Properties
ΔE to the lowest computed polymorph = 0.0 kJ/mol of atoms
density of states at the Fermi level = 0.952 states/eV/atom
E = -52.513 eV per atom
M_tot = 1.3 μB per formula unit

# 9
First-principles (meta-GGA SCAN) data for LiTc2Br at its PBEsol-relaxed geometry, as listed in the Alexandria database.

a = 4.394 Å, b = 5.975 Å, c = 5.975 Å
α = 82.23°, β = 68.42°, γ = 68.42°
Atoms (fractional coordinates):
Tc (0.692, 0.933, 0.433)
Br (0.000, 0.000, 0.000)
Tc (0.375, 0.567, 0.933)
Tc (0.058, 0.067, 0.567)
Li (0.500, 0.000, 0.000)
Tc (0.875, 0.433, 0.067)
Li (0.250, 0.500, 0.500)
Br (0.750, 0.500, 0.500)

Properties
ΔE to the lowest computed polymorph = 0.0 kJ/mol of atoms
density of states at the Fermi level = 0.716 states/eV/atom
E = -22.067 eV per atom
energy relative to the elements, uncorrected = 3.70 eV per formula unit
M_tot = 0.0 μB per formula unit

# 10
First-principles (meta-GGA SCAN) data for Ba2MgAgTe at its PBEsol-relaxed geometry, as listed in the Alexandria database.

a = 5.213 Å, b = 6.554 Å, c = 6.554 Å
α = 90.00°, β = 90.00°, γ = 90.00°
Atoms (fractional coordinates):
Mg (0.500, 0.500, 0.500)
Ba (0.000, 0.500, 0.000)
Ba (0.000, 0.000, 0.500)
Te (0.000, 0.000, 0.000)
Ag (0.500, 0.000, 0.000)

Properties
density of states at the Fermi level = 0.815 states/eV/atom
E = -30.845 eV per atom
energy relative to the elements, uncorrected = -1.53 eV per formula unit
M_tot = 0.4 μB per formula unit

# 11
First-principles (meta-GGA SCAN) data for Zr6CoSn2 at its PBEsol-relaxed geometry, as listed in the Alexandria database.

a = 3.448 Å, b = 7.881 Å, c = 7.881 Å
α = 120.00°, β = 90.00°, γ = 90.00°
Atoms (fractional coordinates):
Sn (0.000, 0.667, 0.333)
Sn (0.000, 0.333, 0.667)
Zr (0.000, 0.242, 0.242)
Zr (0.000, 0.000, 0.758)
Zr (0.500, 0.396, 0.000)
Zr (0.500, 0.000, 0.396)
Zr (0.500, 0.604, 0.604)
Zr (0.000, 0.758, 0.000)
Co (0.500, 0.000, 0.000)

Properties
density of states at the Fermi level = 1.115 states/eV/atom
E = -30.863 eV per atom
M_tot = 0.0 μB per formula unit

# 12
First-principles (meta-GGA SCAN) data for In at its PBEsol-relaxed geometry, as listed in the Alexandria database.

a = 5.040 Å, b = 5.040 Å, c = 5.022 Å
α = 90.00°, β = 90.00°, γ = 118.72°
Atoms (fractional coordinates):
In (0.344, 0.656, 0.917)
In (0.156, 0.844, 0.417)
In (0.844, 0.156, 0.583)
In (0.656, 0.344, 0.083)

Properties
ΔE to the lowest computed polymorph = 0.0 kJ/mol of atoms
density of states at the Fermi level = 0.226 states/eV/atom
E = -33.386 eV per atom
M_tot = 0.0 μB per formula unit

What is the density of states at the Fermi level in the eighth record? 0.952 states/eV/atom

Among the records above, which one has the highest M_tot? NiIrPt